Entry from Alexandria: AcEr2Zn after structural relaxation (PBE).

V: 124.1 Å³ per cell
Formation energy from the elements: -0.011 eV per atom
Space-group type: R3m, No. 160

Lattice parameters (Å, degrees): 3.715 3.715 10.599 79.91 79.91 60.00
Fractional coordinates of all 4 atoms:
Ac (0.501, 0.501, 0.498)
Zn (0.666, 0.666, 0.001)
Er (0.267, 0.267, 0.200)
Er (0.066, 0.066, 0.801)